(1)
A plane-wave DFT calculation with GGA-PBE was carried out for crystalline BeNi4W at its relaxed geometry.

Summary:
Energy relative to the elements, eV/atom: 0.116

Structure (extended XYZ):
```
6
Lattice="4.570 0.581 0.350 1.739 2.684 3.334 2.307 -1.897 3.525" Properties=species:S:1:pos:R:3 pbc="T T T"
W 6.462 1.026 5.407
Ni 4.101 1.857 4.372
Ni 5.518 0.804 2.877
Ni 4.385 -0.437 4.467
Ni 3.230 0.513 2.702
Be 0.000 0.000 0.000
```

***

(2)
A plane-wave DFT calculation with GGA-PBE was carried out for crystalline PmInSb at its relaxed geometry.

Summary:
Formation energy from raw total energies, meV/atom: -431
Energy above the lowest structure with this stoichiometry, meV/atom: 33.7

Structure (extended XYZ):
```
6
Lattice="5.315 0.000 0.000 2.658 4.603 0.000 2.658 1.534 8.078" Properties=species:S:1:pos:R:3 pbc="T T T"
In 5.315 3.069 7.468
In 5.315 3.069 0.610
Pm 7.973 4.603 5.426
Pm 2.658 1.534 2.652
Sb 2.658 1.534 5.830
Sb 7.973 4.603 2.248
```

***

(3)
A plane-wave DFT calculation with GGA-PBE was carried out for crystalline NdAlGaIr2 at its relaxed geometry.

Summary:
Energy relative to the elements, eV/atom: -0.570

Structure (extended XYZ):
```
10
Lattice="4.400 0.000 0.000 -2.200 6.617 0.000 0.000 0.000 6.827" Properties=species:S:1:pos:R:3 pbc="T T T"
Ir 2.200 4.231 0.293
Ir 0.000 2.386 6.535
Ir 0.000 2.386 3.707
Ir 2.200 4.231 3.121
Ga 0.000 0.000 3.414
Ga 0.000 0.000 0.000
Nd 2.200 1.523 1.707
Nd 0.000 5.094 5.121
Al 2.200 2.538 5.121
Al 0.000 4.079 1.707
```

***

(4)
A plane-wave DFT calculation with GGA-PBE was carried out for crystalline Zr2BeNb at its relaxed geometry.

Summary:
Energy relative to the elements, eV/atom: 0.038

Structure (extended XYZ):
```
4
Lattice="3.411 0.000 0.000 0.000 3.411 0.000 0.000 0.000 6.282" Properties=species:S:1:pos:R:3 pbc="T T T"
Be 1.706 1.706 0.000
Zr 0.000 0.000 1.474
Zr 0.000 0.000 4.809
Nb 1.706 1.706 3.141
```

***

(5)
A plane-wave DFT calculation with GGA-PBE was carried out for crystalline PmNdZn2 at its relaxed geometry.

Summary:
Energy relative to the elements, eV/atom: -0.088

Structure (extended XYZ):
```
4
Lattice="3.706 0.000 0.000 1.853 3.210 0.000 1.853 1.070 9.135" Properties=species:S:1:pos:R:3 pbc="T T T"
Zn 1.853 1.070 2.265
Zn 5.559 3.210 6.870
Pm 0.000 0.000 0.000
Nd 3.706 2.140 4.568
```

***

(6)
A plane-wave DFT calculation with GGA-PBE was carried out for crystalline PaTaBe2 at its relaxed geometry.

Summary:
Energy relative to the elements, eV/atom: 0.312
Energy above the lowest structure with this stoichiometry, meV/atom: 229.8

Structure (extended XYZ):
```
4
Lattice="4.505 0.000 0.000 2.252 3.901 0.000 2.252 1.300 3.680" Properties=species:S:1:pos:R:3 pbc="T T T"
Ta 4.505 2.601 1.840
Be 6.757 3.901 2.759
Be 2.252 1.300 0.921
Pa 0.000 0.000 0.000
```

***

(7)
A plane-wave DFT calculation with GGA-PBE was carried out for crystalline RbTe3AsPb at its relaxed geometry.

Summary:
Formation energy from raw total energies, meV/atom: -386

Structure (extended XYZ):
```
12
Lattice="-4.879 0.614 1.734 0.123 -8.510 3.361 3.417 6.412 7.344" Properties=species:S:1:pos:R:3 pbc="T T T"
As 0.954 3.173 5.482
As -2.294 -4.657 6.957
Te -2.899 -2.654 4.543
Te -3.093 -6.690 5.428
Te 1.753 5.207 7.011
Te 1.560 1.171 7.896
Te -1.793 2.393 5.869
Te 0.453 -3.876 6.570
Rb -1.074 -1.199 9.166
Rb -0.266 -0.285 3.273
Pb -0.555 3.495 8.963
Pb -0.785 -4.979 3.475
```

***

(8)
A plane-wave DFT calculation with GGA-PBE was carried out for crystalline Tb2Tm3Th6 at its relaxed geometry.

Summary:
Energy relative to the elements, eV/atom: 0.032

Structure (extended XYZ):
```
11
Lattice="3.557 0.000 0.218 1.772 3.085 0.218 -0.156 -0.090 31.645" Properties=species:S:1:pos:R:3 pbc="T T T"
Th 0.366 0.212 23.129
Th 1.795 1.039 28.952
Th 3.379 1.956 3.129
Th 4.807 2.782 8.952
Th 4.276 2.475 17.600
Th 0.897 0.519 14.481
Tb 2.854 1.652 11.679
Tb 2.319 1.342 20.402
Tm 0.000 0.000 0.000
Tm 3.744 2.167 26.270
Tm 1.429 0.827 5.812
```

***

(9)
A plane-wave DFT calculation with GGA-PBE was carried out for crystalline KP2 at its relaxed geometry.

Summary:
Energy relative to the elements, eV/atom: 0.062

Structure (extended XYZ):
```
6
Lattice="-3.323 3.323 4.420 3.323 -3.323 4.420 3.323 3.323 -4.420" Properties=species:S:1:pos:R:3 pbc="T T T"
P 0.699 4.021 0.000
P 0.699 2.624 4.420
P 2.624 -0.699 4.420
P 2.624 0.699 0.000
K 0.000 0.000 6.630
K 0.000 0.000 2.210
```

***

(10)
A plane-wave DFT calculation with GGA-PBE was carried out for crystalline Mn2OsPt at its relaxed geometry.

Summary:
Energy relative to the elements, eV/atom: -0.066

Structure (extended XYZ):
```
4
Lattice="3.095 0.000 0.000 0.000 3.095 0.000 0.000 0.000 5.952" Properties=species:S:1:pos:R:3 pbc="T T T"
Mn 0.000 0.000 2.938
Mn 0.000 0.000 0.038
Os 1.548 1.548 1.488
Pt 1.548 1.548 4.464
```

***

(11)
A plane-wave DFT calculation with GGA-PBE was carried out for crystalline LiNd2Ga3 at its relaxed geometry.

Summary:
Energy relative to the elements, eV/atom: -0.543

Structure (extended XYZ):
```
12
Lattice="5.899 -0.429 0.000 -0.658 5.878 0.000 -2.620 -2.724 7.865" Properties=species:S:1:pos:R:3 pbc="T T T"
Li 2.620 2.724 2.650
Li 0.000 0.000 5.215
Ga 0.000 0.000 2.604
Ga 2.620 2.724 5.261
Ga 1.659 -1.596 6.548
Ga 0.961 4.320 1.317
Ga -1.659 1.596 6.548
Ga 4.279 1.128 1.317
Nd 2.949 -0.215 3.932
Nd 3.900 4.055 0.000
Nd 1.340 1.393 0.000
Nd -0.329 2.939 3.932
```

***

(12)
A plane-wave DFT calculation with GGA-PBE was carried out for crystalline PuIn2Pt at its relaxed geometry.

Summary:
Energy relative to the elements, eV/atom: -0.348

Structure (extended XYZ):
```
4
Lattice="-3.167 -0.305 1.100 -0.200 -3.047 -1.418 2.604 -3.241 6.597" Properties=species:S:1:pos:R:3 pbc="T T T"
In 0.534 -0.665 1.353
In 2.070 -2.576 5.244
Pt -1.683 -1.676 -0.159
Pu -0.381 -3.296 3.139
```